Computed, not measured: crystalline FeC2 at its relaxed geometry at the PBE-GGA level of DFT.

Properties
Crystal system   hexagonal
ρ   3.491 Mg/m³

Lattice parameters (Å, degrees): 2.4624 2.4624 7.2338 90.00 90.00 120.00
Space group P6/mmm (No. 191)
Inequivalent atoms, fractional coordinates:
1 Fe 0.0000 0.0000 0.0000 x1
2 C 0.3333 0.6667 0.5000 x2

Computed, not measured: crystalline FeC2 at its relaxed geometry at the PBE-GGA level of DFT.

Properties
Crystal system   monoclinic
ρ   5.351 Mg/m³

Lattice parameters (Å, degrees): 6.073 2.507 3.703 90.00 118.48 90.00
Space group Cm (No. 8)
Inequivalent atoms, fractional coordinates:
1 Fe 0.000 0.000 0.000 x2
2 C 0.316 0.000 0.519 x2
3 C 0.321 0.500 0.317 x2

Computed, not measured: crystalline FeC at its relaxed geometry at the PBE-GGA level of DFT.

Properties
Crystal system   cubic
ρ   6.541 Mg/m³

Lattice parameters (Å, degrees): 5.165 5.165 5.165 90.00 90.00 90.00
Space group Fd-3m (No. 227, origin choice 2)
Inequivalent atoms, fractional coordinates:
1 Fe 0.125 0.125 0.125 x8
2 C 0.125 0.125 0.625 x8

Computed, not measured: crystalline FeC at its relaxed geometry at the PBE-GGA level of DFT.

Properties
Crystal system   cubic
ρ   7.534 Mg/m³

Lattice parameters (Å, degrees): 2.464 2.464 2.464 90.00 90.00 90.00
Space group Pm-3m (No. 221)
Inequivalent atoms, fractional coordinates:
1 Fe 0.000 0.000 0.000 x1
2 C 0.500 0.500 0.500 x1

Table of VASP energy (eV per atom), in record order: -8.45 -8.19 -6.97 -7.90